Computed, not measured: crystalline La2BeCo at its relaxed geometry at the GGA-PBE level of DFT.

Output
ΔE_f: -0.05 eV/atom
Total moment: 0.0 μB per formula unit

Cell lengths 4.3069, 4.7740, 4.8329 Å; angles 64.27, 85.75, 86.55 degrees
Closest atoms and distances in Å follow each position.
Space group P1 (No. 1)
Symmetry-distinct sites (fractional):
La 0.0000 0.0000 0.0000 [1 per cell]  3 Co 2.71-2.97
La 0.4525 0.3427 0.3457 [1 per cell]  3 Be 2.91-2.92, 1 Co 2.92
Be 0.6095 0.6821 0.6882 [1 per cell]  2 Co 2.14-2.18
Co 0.1078 0.6690 0.6664 [1 per cell]  2 Be 2.14-2.18

Computed, not measured: crystalline LaBe2Co at its relaxed geometry at the GGA-PBE level of DFT.

Output
Excess energy over the best structure of this formula in the dataset: 0.9006 eV/atom
ΔE_f: 0.76 eV/atom
Total moment: 1.6 μB per formula unit

Cell lengths 4.6929, 4.6929, 2.8610 Å; angles 90.00, 90.00, 90.00 degrees
Closest atoms and distances in Å follow each position.
Space group P4/mmm (No. 123)
Symmetry-distinct sites (fractional):
La 0.0000 0.0000 0.0000 [1 per cell]  8 Be 2.75, 2 La 2.86
Be 0.0000 0.5000 0.5000 [2 per cell]  4 La 2.75, 4 Co 2.75, 2 Be 2.86
Co 0.5000 0.5000 0.0000 [1 per cell]  8 Be 2.75, 2 Co 2.86

Computed, not measured: crystalline LaBe2Co at its relaxed geometry at the GGA-PBE level of DFT.

Output
Excess energy over the best structure of this formula in the dataset: 0.6800 eV/atom
ΔE_f: 0.54 eV/atom
Total moment: 0.0 μB per formula unit

Cell lengths 3.6713, 3.6837, 4.7535 Å; angles 90.00, 90.00, 90.00 degrees
Closest atoms and distances in Å follow each position.
Space group Pmmm (No. 47)
Symmetry-distinct sites (fractional):
La 0.0000 0.0000 0.0000 [1 per cell]  4 Co 2.60
Be 0.0000 0.5000 0.5000 [1 per cell]  4 Be 2.60
Be 0.5000 0.0000 0.5000 [1 per cell]  4 Be 2.60
Co 0.5000 0.5000 0.0000 [1 per cell]  4 La 2.60

Computed, not measured: crystalline LaBe2Co at its relaxed geometry at the GGA-PBE level of DFT.

Output
Excess energy over the best structure of this formula in the dataset: 0.5933 eV/atom
ΔE_f: 0.45 eV/atom
Total moment: 1.4 μB per formula unit

Cell lengths 6.3265, 6.3265, 6.3265 Å; angles 90.00, 90.00, 90.00 degrees
Closest atoms and distances in Å follow each position.
Space group Fm-3m (No. 225)
Symmetry-distinct sites (fractional):
La 0.0000 0.0000 0.0000 [4 per cell]  8 Be 2.74
Be 0.2500 0.2500 0.2500 [8 per cell]  4 La 2.74, 4 Co 2.74
Co 0.0000 0.0000 0.5000 [4 per cell]  8 Be 2.74

Computed, not measured: crystalline LaBe2Co2 at its relaxed geometry at the GGA-PBE level of DFT.

Output
Excess energy over the best structure of this formula in the dataset: 0.0678 eV/atom
ΔE_f: 0.03 eV/atom
Total moment: 0.0 μB per formula unit

Cell lengths 6.8135, 6.8135, 2.7748 Å; angles 90.00, 90.00, 90.00 degrees
Closest atoms and distances in Å follow each position.
Space group P4/mbm (No. 127)
Symmetry-distinct sites (fractional):
La 0.0000 0.0000 0.0000 [2 per cell]  4 Co 2.58, 2 La 2.77
Be 0.1166 0.3834 0.5000 [4 per cell]  1 Be 2.25, 4 Co 2.33
Co 0.1551 0.6551 0.0000 [4 per cell]  6 Be 2.33-2.60, 2 La 2.58

Computed, not measured: crystalline La2BeCo at its relaxed geometry at the GGA-PBE level of DFT.

Output
ΔE_f: -0.03 eV/atom
Total moment: 0.0 μB per formula unit

Cell lengths 3.9792, 3.9995, 6.3125 Å; angles 90.00, 108.22, 90.00 degrees
Closest atoms and distances in Å follow each position.
Space group Pm (No. 6)
Symmetry-distinct sites (fractional):
La 0.0000 0.0000 0.0000 [1 per cell]  2 Co 2.84, 4 Be 3.00
La 0.2668 0.5000 0.5335 [1 per cell]  2 Be 2.95-2.96, 4 Co 3.05-3.06
Be 0.5848 0.5000 0.1699 [1 per cell]  2 Co 2.24
Co 0.6690 0.0000 0.3378 [1 per cell]  2 Be 2.24